(1)
Entry from the Alexandria database: crystalline LiVSe2 at its relaxed geometry (GGA-PBE).

Unit cell a=5.852 b=5.852 c=7.012 alpha=65.34 beta=65.34 gamma=90.00
Fractional positions:
Se 0.650 0.125 0.250
Se 0.875 0.900 0.750
Li 0.500 0.500 0.000
Se 0.100 0.625 0.250
V 0.000 0.000 0.000
V 0.750 0.250 0.500
Se 0.375 0.350 0.750
Li 0.250 0.750 0.500

Values from the calculation:
* E_form (uncorrected): -773 meV per atom
* volume: 24.233 Å³ per atom

---

(2)
Entry from the Alexandria database: crystalline LiV4Se8 at its relaxed geometry (GGA-PBE).

Unit cell a=6.976 b=6.976 c=7.408 alpha=102.06 beta=104.97 gamma=120.25
Fractional positions:
V 0.224 0.766 0.989
Se 0.786 0.465 0.768
V 0.223 0.223 0.000
Se 0.303 0.982 0.768
V 0.776 0.234 0.011
Se 0.306 0.488 0.794
Se 0.694 0.512 0.206
Se 0.787 0.961 0.747
V 0.777 0.777 0.000
Li 0.000 0.500 0.500
Se 0.697 0.018 0.232
Se 0.214 0.535 0.232
Se 0.213 0.039 0.253

Values from the calculation:
* excess energy over the best structure of this formula in the dataset: 0 meV/atom
* E_form (uncorrected): -776 meV per atom
* volume: 21.145 Å³ per atom

---

Question: What is the formula in the first record?
Answer: LiVSe2

---

What did the second record say?
Entry from the Alexandria database: crystalline LiV4Se8 at its relaxed geometry (GGA-PBE).

Unit cell a=6.976 b=6.976 c=7.408 alpha=102.06 beta=104.97 gamma=120.25
Fractional positions:
V 0.224 0.766 0.989
Se 0.786 0.465 0.768
V 0.223 0.223 0.000
Se 0.303 0.982 0.768
V 0.776 0.234 0.011
Se 0.306 0.488 0.794
Se 0.694 0.512 0.206
Se 0.787 0.961 0.747
V 0.777 0.777 0.000
Li 0.000 0.500 0.500
Se 0.697 0.018 0.232
Se 0.214 0.535 0.232
Se 0.213 0.039 0.253

Values from the calculation:
* excess energy over the best structure of this formula in the dataset: 0 meV/atom
* E_form (uncorrected): -776 meV per atom
* volume: 21.145 Å³ per atom